Here is a relaxed KEu2Rh crystal from Alexandria. Energies are from PBE.

Cell lengths 4.196, 4.196, 11.490 Å; angles 79.48, 79.48, 60.00 degrees
Each line ends with the local moment (μB).
Atoms (fractional coordinates):
Eu (0.121, 0.121, 0.637)  6.81
Eu (0.879, 0.879, 0.363)  6.81
Rh (0.500, 0.500, 0.500)  -0.25
K (0.000, 0.000, 0.000)  0.00

For the energy above the most stable polymorph in this dataset, the calculation gives 24.1 meV per atom. The total energy comes out at -7.38 eV/atom. The space group is No. 166. The value obtained for the formation energy is -0.13 eV/atom.



Here is a relaxed KEu2Rh crystal from Alexandria. Energies are from PBE.

Cell lengths 3.644, 3.644, 10.784 Å; angles 90.00, 90.00, 90.00 degrees
Each line ends with the local moment (μB).
Atoms (fractional coordinates):
Eu (0.000, 0.000, 0.155)  6.91
Eu (0.000, 0.000, 0.845)  6.91
K (0.500, 0.500, 0.500)  0.01
Rh (0.500, 0.500, 0.000)  -0.30

For the energy above the most stable polymorph in this dataset, the calculation gives 0.0 meV per atom. The total energy comes out at -7.41 eV/atom. The space group is No. 123. The value obtained for the formation energy is -0.16 eV/atom.



Here is a relaxed KEu3Ru crystal from Alexandria. Energies are from PBE.

Cell lengths 5.735, 5.735, 5.735 Å; angles 90.00, 90.00, 90.00 degrees
Each line ends with the local moment (μB).
Atoms (fractional coordinates):
Eu (0.000, 0.000, 0.500)  6.91
Eu (0.500, 0.000, 0.000)  6.91
Eu (0.000, 0.500, 0.000)  6.91
Ru (0.000, 0.000, 0.000)  -0.60
K (0.500, 0.500, 0.500)  0.03

The total energy comes out at -8.12 eV/atom. The space group is No. 221. The value obtained for the formation energy is 0.12 eV/atom.



Here is a relaxed KEuS2 crystal from Alexandria. Energies are from PBE.

Cell lengths 4.199, 4.199, 7.718 Å; angles 74.21, 74.21, 60.00 degrees
Each line ends with the local moment (μB).
Atoms (fractional coordinates):
Eu (0.000, 0.000, 0.000)  6.47
S (0.265, 0.265, 0.205)  -0.18
S (0.735, 0.735, 0.795)  -0.18
K (0.500, 0.500, 0.500)  0.00

The value obtained for the formation energy (no corrections) is -1550 meV per atom. The total energy comes out at -6.46 eV/atom. The space group is No. 166.



Here is a relaxed KEuS2 crystal from Alexandria. Energies are from PBE.

Cell lengths 3.625, 3.625, 7.531 Å; angles 90.00, 90.00, 90.00 degrees
Each line ends with the local moment (μB).
Atoms (fractional coordinates):
K (0.500, 0.500, 0.500)  -0.01
S (0.000, 0.000, 0.211)  -0.21
S (0.000, 0.000, 0.789)  -0.21
Eu (0.500, 0.500, 0.000)  6.58

The value obtained for the formation energy (no corrections) is -1383 meV per atom. The total energy comes out at -6.29 eV/atom. The space group is No. 123.



Here is a relaxed KEuSb crystal from Alexandria. Energies are from PBE.

Cell lengths 4.441, 4.441, 6.982 Å; angles 108.54, 108.54, 90.00 degrees
Each line ends with the local moment (μB).
Atoms (fractional coordinates):
Eu (0.337, 0.337, 0.674)  6.87
K (0.607, 0.607, 0.213)  0.01
Sb (0.906, 0.906, 0.812)  -0.07

The value obtained for the formation energy (no corrections) is -515 meV per atom. The total energy comes out at -5.68 eV/atom. The space group is No. 107.



Here is a relaxed KEuSb2 crystal from Alexandria. Energies are from PBE.

Cell lengths 4.735, 5.117, 5.117 Å; angles 90.00, 90.00, 90.00 degrees
Each line ends with the local moment (μB).
Atoms (fractional coordinates):
Eu (0.500, 0.000, 0.000)  6.82
Sb (0.000, 0.000, 0.500)  -0.04
Sb (0.000, 0.500, 0.000)  -0.04
K (0.500, 0.500, 0.500)  0.00

The value obtained for the formation energy (no corrections) is -559 meV per atom. For the energy above the most stable polymorph in this dataset, the calculation gives 118.2 meV per atom. The total energy comes out at -5.46 eV/atom. The space group is No. 123.



Here is a relaxed KEuSb crystal from Alexandria. Energies are from PBE.

Cell lengths 5.620, 5.620, 5.620 Å; angles 60.00, 60.00, 60.00 degrees
Each line ends with the local moment (μB).
Atoms (fractional coordinates):
Eu (0.000, 0.000, 0.000)  6.91
K (0.500, 0.500, 0.500)  0.00
Sb (0.250, 0.250, 0.250)  -0.04

The value obtained for the formation energy (no corrections) is -654 meV per atom. The total energy comes out at -5.82 eV/atom. The space group is No. 216.



Here is a relaxed KEuSb2 crystal from Alexandria. Energies are from PBE.

Cell lengths 5.679, 5.679, 5.681 Å; angles 60.01, 60.01, 60.00 degrees
Each line ends with the local moment (μB).
Atoms (fractional coordinates):
K (0.500, 0.500, 0.500)  0.00
Eu (0.000, 0.000, 0.000)  6.80
Sb (0.250, 0.250, 0.250)  -0.01
Sb (0.750, 0.750, 0.750)  -0.01

The value obtained for the formation energy (no corrections) is -459 meV per atom. For the energy above the most stable polymorph in this dataset, the calculation gives 217.7 meV per atom. The total energy comes out at -5.36 eV/atom. The space group is No. 225.



Here is a relaxed KEuSb2 crystal from Alexandria. Energies are from PBE.

Cell lengths 4.317, 4.317, 7.534 Å; angles 90.00, 90.00, 90.00 degrees
Each line ends with the local moment (μB).
Atoms (fractional coordinates):
Sb (0.000, 0.000, 0.190)  -0.01
Sb (0.000, 0.000, 0.810)  -0.01
K (0.500, 0.500, 0.500)  0.00
Eu (0.500, 0.500, 0.000)  6.81

The value obtained for the formation energy (no corrections) is -677 meV per atom. For the energy above the most stable polymorph in this dataset, the calculation gives 0.0 meV per atom. The total energy comes out at -5.58 eV/atom. The space group is No. 123.



Here is a relaxed KEuTlSb crystal from Alexandria. Energies are from PBE.

Cell lengths 5.733, 5.733, 5.733 Å; angles 60.00, 60.00, 60.00 degrees
Each line ends with the local moment (μB).
Atoms (fractional coordinates):
Eu (0.250, 0.250, 0.250)  -6.92
K (0.750, 0.750, 0.750)  -0.01
Sb (0.500, 0.500, 0.500)  0.04
Tl (0.000, 0.000, 0.000)  -0.13

The value obtained for the formation energy (no corrections) is -402 meV per atom. The total energy comes out at -4.87 eV/atom. The space group is No. 216.



Here is a relaxed KEuSe2 crystal from Alexandria. Energies are from PBE.

Cell lengths 3.771, 3.771, 7.873 Å; angles 90.00, 90.00, 90.00 degrees
Each line ends with the local moment (μB).
Atoms (fractional coordinates):
Se (0.000, 0.000, 0.215)  -0.18
Se (0.000, 0.000, 0.785)  -0.18
K (0.500, 0.500, 0.500)  -0.01
Eu (0.500, 0.500, 0.000)  6.64

The value obtained for the formation energy (no corrections) is -1368 meV per atom. The total energy comes out at -5.95 eV/atom. The space group is No. 123.



Q: What is the total energy in the fifth record?
A: -6.29 eV/atom